1.
Here is a relaxed Pr4SiHgTe2 crystal from the Alexandria database. Energies are from GGA-PBE.

```
8
Lattice="7.698 0.000 0.000 0.000 4.403 0.000 -2.460 0.000 7.472" Properties=species:S:1:pos:R:3 pbc="T T T"
Pr 1.207 0.000 1.719
Pr -0.023 2.201 5.646
Pr 5.261 2.201 1.826
Pr 4.031 0.000 5.753
Si 0.000 2.201 0.000
Hg 3.849 0.000 0.000
Te -1.230 0.000 3.736
Te 2.619 2.201 3.736
```

## Properties
The raw total energy comes out at -39.12 eV per formula unit. The formation energy (no corrections) is -1.00 eV per atom.



2.
Here is a relaxed PrSm2Hg crystal from the Alexandria database. Energies are from GGA-PBE.

```
4
Lattice="0.000 3.913 3.913 3.913 0.000 3.913 3.913 3.913 0.000" Properties=species:S:1:pos:R:3 pbc="T T T"
Pr 0.000 0.000 0.000
Sm 1.956 1.956 1.956
Sm 5.869 5.869 5.869
Hg 3.913 3.913 3.913
```

## Properties
The raw total energy comes out at -14.69 eV per formula unit. For the formation energy, the calculation gives -0.04 eV/atom. The value obtained for the energy above the most stable polymorph in this dataset is 0.189 eV/atom.